PmPr2Nd4Tm (GGA-PBE, relaxed); symmetry = P2/m; DFT formation energy = 0.014 eV per atom; electronic total energy = -37.743 eV/f.u.
1.0
-3.094 3.526 -2.206
-2.215 -3.716 -2.832
-9.248 -5.223 4.624
Nd Pm Pr Tm
4 1 2 1
direct
0.500 0.252 0.748 Nd
0.500 0.748 0.252 Nd
0.000 0.753 0.747 Nd
0.000 0.247 0.253 Nd
0.500 0.500 0.000 Pm
0.000 0.000 0.000 Pr
0.500 0.000 0.500 Pr
0.000 0.500 0.500 Tm